(1)
# PmInPd

A geometry-optimized PmInPd structure (PBE, Alexandria).

abc: 4.7998 4.7998 4.7998
angles: 60.00 60.00 60.00
Positions (direct):
1 In 0.5000 0.5000 0.5000
2 Pd 0.2500 0.2500 0.2500
3 Pm 0.0000 0.0000 0.0000

Output
Symmetry ... No. 216
Offset from the most stable computed form ... 0.146 eV/atom



(2)
# Pm2In3Pd

A geometry-optimized Pm2In3Pd structure (PBE, Alexandria).

abc: 4.8533 6.0398 6.1820
angles: 76.62 66.89 66.31
Positions (direct):
1 Pm 0.5379 0.2153 0.7090
2 Pm 0.4494 0.8023 0.2989
3 In 0.8523 0.6200 0.6754
4 In 0.8241 0.2322 0.1196
5 In 0.1624 0.7627 0.9125
6 Pd 0.1739 0.3676 0.2846

Output
Symmetry ... No. 8
Offset from the most stable computed form ... 0.000 eV/atom



(3)
# PmInPd2

A geometry-optimized PmInPd2 structure (PBE, Alexandria).

abc: 4.7050 5.2094 6.8967
angles: 90.00 90.00 90.00
Positions (direct):
1 Pm 0.0000 0.2964 0.5000
2 Pm 0.5000 0.7036 0.0000
3 In 0.5000 0.7742 0.5000
4 In 0.0000 0.2258 0.0000
5 Pd 0.5000 0.1913 0.2213
6 Pd 0.5000 0.1913 0.7787
7 Pd 0.0000 0.8087 0.7213
8 Pd 0.0000 0.8087 0.2787

Output
Symmetry ... No. 59



(4)
# PmIn2Pd9

A geometry-optimized PmIn2Pd9 structure (PBE, Alexandria).

abc: 4.0989 4.0989 12.2213
angles: 90.00 90.00 90.00
Positions (direct):
1 Pm 0.0000 0.0000 0.0000
2 In 0.0000 0.0000 0.3400
3 In 0.0000 0.0000 0.6600
4 Pd 0.5000 0.5000 0.0000
5 Pd 0.5000 0.5000 0.3362
6 Pd 0.5000 0.5000 0.6638
7 Pd 0.5000 0.0000 0.1763
8 Pd 0.5000 0.0000 0.5000
9 Pd 0.5000 0.0000 0.8237
10 Pd 0.0000 0.5000 0.1763
11 Pd 0.0000 0.5000 0.5000
12 Pd 0.0000 0.5000 0.8237

Output
Symmetry ... No. 123



(5)
# Pm4InPd

A geometry-optimized Pm4InPd structure (PBE, Alexandria).

abc: 5.9242 8.6870 8.4190
angles: 114.25 101.39 107.40
Positions (direct):
1 Pm 0.0590 0.2061 0.8468
2 Pm 0.7682 0.6968 0.6221
3 Pm 0.2878 0.6407 0.8468
4 Pm 0.3539 0.9253 0.6221
5 Pm 0.6461 0.0747 0.3779
6 Pm 0.7122 0.3593 0.1532
7 Pm 0.2318 0.3032 0.3779
8 Pm 0.9410 0.7939 0.1532
9 In 0.3682 0.6182 0.2364
10 In 0.6318 0.3818 0.7636
11 Pd 0.2513 0.0013 0.0025
12 Pd 0.7487 0.9987 0.9975

Output
Symmetry ... No. 15
Offset from the most stable computed form ... 0.076 eV/atom



(6)
# Pm6In3Pd

A geometry-optimized Pm6In3Pd structure (PBE, Alexandria).

abc: 5.3494 9.4816 11.7695
angles: 107.50 90.00 90.00
Positions (direct):
1 Pm 0.2500 0.4615 0.0864
2 Pm 0.7500 0.5385 0.9136
3 Pm 0.2500 0.1315 0.1536
4 Pm 0.7500 0.8685 0.8464
5 Pm 0.2500 0.6756 0.6709
6 Pm 0.7500 0.3244 0.3291
7 Pm 0.2500 0.2271 0.4969
8 Pm 0.7500 0.7729 0.5031
9 Pm 0.2500 0.8534 0.3230
10 Pm 0.7500 0.1466 0.6770
11 Pm 0.2500 0.0945 0.8681
12 Pm 0.7500 0.9055 0.1319
13 In 0.2500 0.5248 0.3800
14 In 0.7500 0.4752 0.6200
15 In 0.2500 0.3871 0.7798
16 In 0.7500 0.6129 0.2202
17 In 0.2500 0.7716 0.9744
18 In 0.7500 0.2284 0.0256
19 Pd 0.2500 0.9583 0.6018
20 Pd 0.7500 0.0417 0.3982

Output
Symmetry ... No. 11



(7)
# PmInPd

A geometry-optimized PmInPd structure (PBE, Alexandria).

abc: 3.5896 5.0031 8.2449
angles: 90.00 102.57 90.00
Positions (direct):
1 Pm 0.4144 0.2500 0.8288
2 Pm 0.5856 0.7500 0.1712
3 Pd 0.9386 0.7500 0.8772
4 Pd 0.0614 0.2500 0.1228
5 In 0.7181 0.2500 0.4362
6 In 0.2819 0.7500 0.5638

Output
Symmetry ... No. 63
Offset from the most stable computed form ... 0.188 eV/atom



(8)
# Pm2In3Pd2

A geometry-optimized Pm2In3Pd2 structure (PBE, Alexandria).

abc: 4.5393 5.7153 7.4713
angles: 111.12 90.00 113.40
Positions (direct):
1 Pm 0.8536 0.7072 0.2103
2 Pm 0.1464 0.2928 0.7897
3 In 0.5000 0.0000 0.0000
4 In 0.6246 0.2493 0.4430
5 In 0.3754 0.7507 0.5570
6 Pd 0.8560 0.7120 0.7905
7 Pd 0.1440 0.2880 0.2095

Output
Symmetry ... No. 12



(9)
# PmInPd2

A geometry-optimized PmInPd2 structure (PBE, Alexandria).

abc: 3.5255 4.8337 4.8337
angles: 90.00 90.00 90.00
Positions (direct):
1 In 0.5000 0.5000 0.5000
2 Pd 0.0000 0.0000 0.5000
3 Pd 0.0000 0.5000 0.0000
4 Pm 0.5000 0.0000 0.0000

Output
Symmetry ... No. 123



(10)
# Pm3InPd4

A geometry-optimized Pm3InPd4 structure (PBE, Alexandria).

abc: 3.9431 6.6452 8.4137
angles: 113.26 103.55 90.00
Positions (direct):
1 Pm 0.1909 0.1909 0.3818
2 Pm 0.8091 0.8091 0.6182
3 Pm 0.0000 0.5000 0.0000
4 In 0.5000 0.0000 0.0000
5 Pd 0.3732 0.5756 0.7463
6 Pd 0.6268 0.4244 0.2537
7 Pd 0.6268 0.8292 0.2537
8 Pd 0.3732 0.1708 0.7463

Output
Symmetry ... No. 71



(11)
# PmIn12Pd4

A geometry-optimized PmIn12Pd4 structure (PBE, Alexandria).

abc: 8.3033 8.3033 8.3033
angles: 109.47 109.47 109.47
Positions (direct):
1 Pm 0.0000 0.0000 0.0000
2 In 0.8407 0.3365 0.1773
3 In 0.3365 0.4958 0.1593
4 In 0.8227 0.1593 0.6635
5 In 0.3365 0.1773 0.8407
6 In 0.1773 0.8407 0.3365
7 In 0.6635 0.5042 0.8407
8 In 0.4958 0.1593 0.3365
9 In 0.5042 0.8407 0.6635
10 In 0.6635 0.8227 0.1593
11 In 0.8407 0.6635 0.5042
12 In 0.1593 0.3365 0.4958
13 In 0.1593 0.6635 0.8227
14 Pd 0.0000 0.5000 0.0000
15 Pd 0.5000 0.0000 0.0000
16 Pd 0.5000 0.5000 0.5000
17 Pd 0.0000 0.0000 0.5000

Output
Symmetry ... No. 204



(12)
# PmIn3Pd4

A geometry-optimized PmIn3Pd4 structure (PBE, Alexandria).

abc: 4.8058 4.8058 8.2043
angles: 72.97 72.97 60.00
Positions (direct):
1 In 0.2520 0.2520 0.2439
2 In 0.7480 0.7480 0.7561
3 In 0.5000 0.5000 0.5000
4 Pd 0.8701 0.8701 0.3898
5 Pd 0.3823 0.3823 0.8531
6 Pd 0.1299 0.1299 0.6102
7 Pd 0.6177 0.6177 0.1469
8 Pm 0.0000 0.0000 0.0000

Output
Symmetry ... No. 166



Computed values of electronic total energy (unit: eV/atom) for the preceding records, in sequence: -4.85, -4.41, -5.22, -5.30, -4.87, -4.61, -4.81, -4.67, -5.11, -5.39, -3.63, -4.84.
Computed values of energy of formation (unit: meV per atom) for the preceding records, in sequence: -622, -590, -747, -550, -386, -418, -580, -658, -642, -666, -196, -619.
Computed values of calculated volume (unit: A^3/atom) for the preceding records, in sequence: 26.06, 25.34, 21.13, 17.11, 29.21, 28.47, 24.09, 23.37, 20.59, 24.48, 25.92, 19.30.